[1]
Material: ErTm3Ag
Method: DFT, PBE
State: relaxed

Results
- M_tot (Bohr magnetons per cell) = 0.00
- E_tot (eV/atom) = -4.179

CIF file:
```
data_ErTm3Ag
_space_group_name_H-M_alt 'C 1 2/m 1'
_space_group_IT_number 12
_cell_length_a 10.938
_cell_length_b 7.316
_cell_length_c 7.629
_cell_angle_alpha 90.00
_cell_angle_beta 111.14
_cell_angle_gamma 90.00
loop_
_space_group_symop_operation_xyz
'x,y,z'
'-x,-y,-z'
'-x,y,-z'
'x,-y,z'
'x+1/2,y+1/2,z'
'-x+1/2,-y+1/2,-z'
'-x+1/2,y+1/2,-z'
'x+1/2,-y+1/2,z'
loop_
_atom_site_label
_atom_site_type_symbol
_atom_site_fract_x
_atom_site_fract_y
_atom_site_fract_z
Er1 Er 0.059 0.000 0.240
Tm1 Tm 0.060 0.500 0.241
Tm2 Tm 0.162 0.250 0.647
Ag1 Ag 0.248 0.500 0.000
```

***

[2]
Material: Er6Tm2Ag
Method: DFT, PBE
State: relaxed

Results
- M_tot (Bohr magnetons per cell) = 0.00
- E_tot (eV/atom) = -4.324

CIF file:
```
data_Er6Tm2Ag
_space_group_name_H-M_alt 'P n n m'
_space_group_IT_number 58
_cell_length_a 9.962
_cell_length_b 9.967
_cell_length_c 5.247
_cell_angle_alpha 90.00
_cell_angle_beta 90.00
_cell_angle_gamma 90.00
loop_
_space_group_symop_operation_xyz
'x,y,z'
'-x,-y,-z'
'-x,-y,z'
'x,y,-z'
'x+1/2,-y+1/2,-z+1/2'
'-x+1/2,y+1/2,z+1/2'
'-x+1/2,y+1/2,-z+1/2'
'x+1/2,-y+1/2,z+1/2'
loop_
_atom_site_label
_atom_site_type_symbol
_atom_site_fract_x
_atom_site_fract_y
_atom_site_fract_z
Er1 Er 0.038 0.179 0.000
Er2 Er 0.125 0.624 0.500
Er3 Er 0.179 0.961 0.500
Tm1 Tm 0.212 0.288 0.500
Ag1 Ag 0.000 0.500 0.000
```

***

[3]
Material: Er3TmAg3
Method: DFT, PBE
State: relaxed

Results
- M_tot (Bohr magnetons per cell) = 0.00
- E_tot (eV/atom) = -3.969

CIF file:
```
data_Er3TmAg3
_space_group_name_H-M_alt 'C 1 2/m 1'
_space_group_IT_number 12
_cell_length_a 9.779
_cell_length_b 10.584
_cell_length_c 6.959
_cell_angle_alpha 90.00
_cell_angle_beta 91.08
_cell_angle_gamma 90.00
loop_
_space_group_symop_operation_xyz
'x,y,z'
'-x,-y,-z'
'-x,y,-z'
'x,-y,z'
'x+1/2,y+1/2,z'
'-x+1/2,-y+1/2,-z'
'-x+1/2,y+1/2,-z'
'x+1/2,-y+1/2,z'
loop_
_atom_site_label
_atom_site_type_symbol
_atom_site_fract_x
_atom_site_fract_y
_atom_site_fract_z
Er1 Er 0.000 0.183 0.000
Er2 Er 0.000 0.262 0.500
Er3 Er 0.124 0.500 0.842
Tm1 Tm 0.243 0.500 0.353
Ag1 Ag 0.073 0.000 0.314
Ag2 Ag 0.242 0.242 0.230
```

***

[4]
Material: Er4TmAg5
Method: DFT, PBE
State: relaxed

Results
- M_tot (Bohr magnetons per cell) = 0.00
- E_tot (eV/atom) = -4.035

CIF file:
```
data_Er4TmAg5
_space_group_name_H-M_alt 'P 4/m m m'
_space_group_IT_number 123
_space_group_name_Hall '-P 4 2'
_cell_length_a 3.568
_cell_length_b 3.568
_cell_length_c 18.315
_cell_angle_alpha 90.00
_cell_angle_beta 90.00
_cell_angle_gamma 90.00
loop_
_atom_site_label
_atom_site_type_symbol
_atom_site_fract_x
_atom_site_fract_y
_atom_site_fract_z
Er1 Er 0.000 0.000 0.100
Er2 Er 0.000 0.000 0.301
Tm1 Tm 0.000 0.000 0.500
Ag1 Ag 0.500 0.500 0.000
Ag2 Ag 0.500 0.500 0.200
Ag3 Ag 0.500 0.500 0.401
```

***

Which value of M_tot does entry 1 give? 0.00 Bohr magnetons per cell